1.
Computed, not measured: an optimized crystal structure of SrPtRh at the PBE-GGA level of DFT.

Lattice parameters (Å, degrees): 4.676 4.676 4.676 60.00 60.00 60.00
Fractional positions:
Sr: 0.000 0.000 0.000
Pt: 0.750 0.750 0.750
Rh: 0.250 0.250 0.250

Summary:
The value obtained for the formation energy is 580 meV per atom. As for the relative energy among the computed polymorphs: 1186 meV per atom.

***

2.
Computed, not measured: an optimized crystal structure of KMg2CdHg4 at the PBE-GGA level of DFT.

Lattice parameters (Å, degrees): 11.124 11.124 11.124 25.09 25.09 25.09
Fractional positions:
K: 0.000 0.000 0.000
Mg: 0.231 0.231 0.231
Mg: 0.769 0.769 0.769
Cd: 0.500 0.500 0.500
Hg: 0.127 0.127 0.127
Hg: 0.399 0.399 0.399
Hg: 0.601 0.601 0.601
Hg: 0.873 0.873 0.873

Summary:
The value obtained for the formation energy is -137 meV per atom.

***

3.
Computed, not measured: an optimized crystal structure of UAg3Br2F6 at the PBE-GGA level of DFT.

Lattice parameters (Å, degrees): 8.208 8.208 5.073 96.65 96.65 54.08
Fractional positions:
U: 0.000 0.000 0.000
Ag: 0.000 0.500 0.000
Ag: 0.500 0.000 0.000
Ag: 0.500 0.500 0.500
Br: 0.321 0.321 0.312
Br: 0.679 0.679 0.688
F: 0.118 0.118 0.804
F: 0.143 0.738 0.750
F: 0.262 0.857 0.250
F: 0.738 0.143 0.750
F: 0.857 0.262 0.250
F: 0.882 0.882 0.196

Summary:
For the formation energy from raw total energies, the calculation gives -2.06 eV per atom.

***

4.
Computed, not measured: an optimized crystal structure of NdSm6Dy2Mg at the PBE-GGA level of DFT.

Lattice parameters (Å, degrees): 9.186 9.186 8.889 90.63 90.63 118.74
Fractional positions:
Nd: 0.035 0.965 0.750
Nd: 0.965 0.035 0.250
Sm: 0.041 0.463 0.302
Sm: 0.122 0.795 0.051
Sm: 0.205 0.878 0.449
Sm: 0.267 0.531 0.911
Sm: 0.463 0.041 0.802
Sm: 0.469 0.733 0.589
Sm: 0.531 0.267 0.411
Sm: 0.537 0.959 0.198
Sm: 0.733 0.469 0.089
Sm: 0.795 0.122 0.551
Sm: 0.878 0.205 0.949
Sm: 0.959 0.537 0.698
Dy: 0.220 0.323 0.555
Dy: 0.323 0.220 0.055
Dy: 0.677 0.780 0.945
Dy: 0.780 0.677 0.445
Mg: 0.442 0.558 0.250
Mg: 0.558 0.442 0.750

Summary:
The value obtained for the formation energy is 117 meV per atom.

***

5.
Computed, not measured: an optimized crystal structure of Cs2Sm2PaS6 at the PBE-GGA level of DFT.

Lattice parameters (Å, degrees): 7.127 7.127 8.618 98.16 98.16 119.81
Fractional positions:
Cs: 0.169 0.831 0.000
Cs: 0.831 0.169 0.000
Sm: 0.334 0.666 0.500
Sm: 0.666 0.334 0.500
Pa: 0.000 0.000 0.500
S: 0.060 0.384 0.679
S: 0.260 0.260 0.321
S: 0.384 0.060 0.679
S: 0.616 0.940 0.321
S: 0.740 0.740 0.679
S: 0.940 0.616 0.321

Summary:
For the formation energy from raw total energies, the calculation gives -1.80 eV per atom.

***

6.
Computed, not measured: an optimized crystal structure of Sr3Sb3Pd8 at the PBE-GGA level of DFT.

Lattice parameters (Å, degrees): 8.695 8.695 9.491 121.15 121.15 30.34
Fractional positions:
Sr: 0.000 0.000 0.000
Sr: 0.295 0.295 0.342
Sr: 0.705 0.705 0.658
Sb: 0.000 0.000 0.500
Sb: 0.330 0.330 0.992
Sb: 0.670 0.670 0.008
Pd: 0.111 0.111 0.382
Pd: 0.134 0.134 0.837
Pd: 0.357 0.357 0.745
Pd: 0.492 0.492 0.316
Pd: 0.508 0.508 0.684
Pd: 0.643 0.643 0.255
Pd: 0.866 0.866 0.163
Pd: 0.889 0.889 0.618

Summary:
For the formation energy from raw total energies, the calculation gives -0.66 eV per atom.

***

7.
Computed, not measured: an optimized crystal structure of SrCeNbO6 at the PBE-GGA level of DFT.

Lattice parameters (Å, degrees): 5.742 5.742 10.278 90.00 90.00 120.00
Fractional positions:
Sr: 0.000 0.000 0.000
Sr: 0.000 0.000 0.500
Ce: 0.333 0.667 0.250
Ce: 0.667 0.333 0.750
Nb: 0.333 0.667 0.750
Nb: 0.667 0.333 0.250
O: 0.028 0.382 0.643
O: 0.028 0.647 0.857
O: 0.353 0.382 0.857
O: 0.353 0.972 0.643
O: 0.382 0.028 0.143
O: 0.382 0.353 0.357
O: 0.618 0.647 0.643
O: 0.618 0.972 0.857
O: 0.647 0.028 0.357
O: 0.647 0.618 0.143
O: 0.972 0.353 0.143
O: 0.972 0.618 0.357

Summary:
For the formation energy from raw total energies, the calculation gives -2.70 eV per atom.

***

8.
Computed, not measured: an optimized crystal structure of BaRhS3 at the PBE-GGA level of DFT.

Lattice parameters (Å, degrees): 4.809 4.809 4.809 90.00 90.00 90.00
Fractional positions:
Ba: 0.000 0.000 0.000
Rh: 0.500 0.500 0.500
S: 0.000 0.500 0.500
S: 0.500 0.000 0.500
S: 0.500 0.500 0.000

Summary:
For the formation energy from raw total energies, the calculation gives -0.74 eV per atom. As for the relative energy among the computed polymorphs: 0 meV per atom.

***

Q: Number 8 is which compound?
A: BaRhS3